# 1
Ta2ZnSi, relaxed, DFT GGA-PBE; SG = Amm2, No. 38; uncorrected formation energy = -6.1 kcal/mol of atoms
1.0
3.6796 0.0000 0.0000
0.0000 1.7545 4.8706
0.0000 -1.7545 4.8706
Ta Zn Si
2 1 1
Direct
0.0000 0.0000 0.0000 Ta
0.5000 0.3113 0.3113 Ta
0.5000 0.5798 0.5798 Zn
0.0000 0.7306 0.7306 Si

=====

# 2
Ta2ZnSi, relaxed, DFT GGA-PBE; SG = P4/mmm, No. 123; uncorrected formation energy = -1.9 kcal/mol of atoms
1.0
4.0236 0.0000 0.0000
0.0000 4.0236 0.0000
0.0000 0.0000 3.9153
Ta Zn Si
2 1 1
Direct
0.0000 0.5000 0.0000 Ta
0.5000 0.0000 0.0000 Ta
0.0000 0.0000 0.5000 Zn
0.5000 0.5000 0.5000 Si

=====

# 3
TaZnSi2, relaxed, DFT GGA-PBE; SG = Cmmm, No. 65; uncorrected formation energy = 2.4 kcal/mol of atoms
1.0
1.7788 -2.1972 0.0000
1.7788 2.1972 0.0000
0.0000 0.0000 8.0946
Ta Zn Si
1 1 2
Direct
0.0000 0.0000 0.0000 Ta
0.0000 0.0000 0.5000 Zn
0.5000 0.5000 0.2444 Si
0.5000 0.5000 0.7556 Si

=====

# 4
TaZnSi2, relaxed, DFT GGA-PBE; SG = P4mm, No. 99; uncorrected formation energy = -1.4 kcal/mol of atoms
1.0
3.4496 0.0000 0.0000
0.0000 3.4496 0.0000
0.0000 0.0000 5.1395
Ta Zn Si
1 1 2
Direct
0.0000 0.0000 0.0000 Ta
0.5000 0.5000 0.2911 Zn
0.0000 0.0000 0.5044 Si
0.5000 0.5000 0.7857 Si

=====

Number 1: D(E_F) 0.288 states/eV per atom. Number 2: D(E_F) 0.221 states/eV per atom. Number 3: D(E_F) 0.545 states/eV per atom. Number 4: D(E_F) 0.385 states/eV per atom.